The following is a PBE calculation of a geometry-optimized Pa3Ta3Ga8 structure, from Alexandria.

Cell: 4.3517 8.4177 8.4177 Å, 67.34 75.02 75.02°
Each line ends with the local moment (μB).
Sites, in units of the cell vectors:
1 Pa 0.5000 0.5000 0.5000  0.55
2 Pa 0.7987 0.2013 0.2013  0.08
3 Pa 0.2013 0.7987 0.7987  0.08
4 Ta 0.5000 0.0000 0.0000  -0.01
5 Ta 0.0000 0.8120 0.1880  0.01
6 Ta 0.0000 0.1880 0.8120  0.01
7 Ga 0.6397 0.0743 0.6463  0.00
8 Ga 0.3603 0.9257 0.3537  0.00
9 Ga 0.6397 0.6463 0.0743  0.00
10 Ga 0.3603 0.3537 0.9257  0.00
11 Ga 0.8427 0.7916 0.5230  0.00
12 Ga 0.1573 0.2084 0.4770  0.00
13 Ga 0.8427 0.5230 0.7916  0.00
14 Ga 0.1573 0.4770 0.2084  0.00

Computed properties:
formation energy from the elements: -0.26 eV/atom
M_tot: 0.858 μB/f.u.
density of states at the Fermi level: 13.44 states/eV/cell
total energy: -91.9 eV/cell